Here is a geometry-optimized Tb2ScAu6 structure from Alexandria. Energies are from PBE.

M_tot   0.0 Bohr magnetons per cell
Space-group type   C2/m, No. 12
Total DFT energy (no corrections)   -42.1 eV for the cell shown
Energy of formation   -17.503 kcal/mol of atoms

Cell: 8.4105 8.4105 5.1963 Å, 98.85 98.85 143.93°
With the nearest neighbours (Å) after each atom.
Sites, in units of the cell vectors:
Tb  0.1646  0.8354  0.0000  10 Au 3.00-3.16
Tb  0.8354  0.1646  0.0000  10 Au 3.00-3.16
Sc  0.5000  0.5000  0.5000  10 Au 2.98-3.03
Au  0.1583  0.1583  0.8277  5 Au 2.96-3.09, 3 Sc 2.98-3.03, 2 Tb 3.02
Au  0.1755  0.4990  0.6649  5 Au 2.95-3.19, 1 Sc 2.98, 4 Tb 3.00-3.16
Au  0.4990  0.1755  0.6649  5 Au 2.95-3.19, 1 Sc 2.98, 4 Tb 3.00-3.16
Au  0.5010  0.8245  0.3351  5 Au 2.95-3.19, 1 Sc 2.98, 4 Tb 3.00-3.16
Au  0.8245  0.5010  0.3351  5 Au 2.95-3.19, 1 Sc 2.98, 4 Tb 3.00-3.16
Au  0.8417  0.8417  0.1723  5 Au 2.96-3.09, 3 Sc 2.98-3.03, 2 Tb 3.02